This record from the Alexandria database describes MgReMo after structural relaxation. The functional is GGA-PBE.

Output
- Formation enthalpy at 0 K: 766.1 meV per atom
- Distance to the lowest polymorph of the same formula: 636.6 meV/atom
- Total DFT energy (no corrections): -7.53 eV per atom
- Density: 8.966 Mg/m³

Unit cell a=4.314 b=4.314 c=4.314 alpha=60.00 beta=60.00 gamma=60.00
Atoms (fractional coordinates):
Mg (0.000, 0.000, 0.000)
Re (0.750, 0.750, 0.750)
Mo (0.500, 0.500, 0.500)

=====

This record from the Alexandria database describes InMoN after structural relaxation. The functional is GGA-PBE.

Output
- Total DFT energy (no corrections): -6.87 eV per atom
- Density: 6.027 Mg/m³
- Formation energy (no corrections): 430 meV/atom

Unit cell a=13.387 b=13.387 c=2.955 alpha=90.00 beta=90.00 gamma=166.48
Atoms (fractional coordinates):
In (0.200, 0.800, 0.750)
In (0.800, 0.200, 0.250)
Mo (0.104, 0.896, 0.250)
Mo (0.896, 0.104, 0.750)
N (0.433, 0.567, 0.750)
N (0.567, 0.433, 0.250)

=====

This record from the Alexandria database describes La12Tc3C5 after structural relaxation. The functional is GGA-PBE.

Output
- Formation enthalpy at 0 K: 139.7 meV per atom
- Total DFT energy (no corrections): -6.68 eV per atom
- Density: 6.338 Mg/m³

Unit cell a=14.013 b=14.013 c=14.013 alpha=109.47 beta=109.47 gamma=109.47
Atoms (fractional coordinates):
La (0.031, 0.208, 0.131)
La (0.031, 0.323, 0.899)
La (0.077, 0.708, 0.677)
La (0.077, 0.869, 0.399)
La (0.101, 0.631, 0.423)
La (0.101, 0.969, 0.677)
La (0.131, 0.031, 0.208)
La (0.131, 0.601, 0.923)
La (0.177, 0.208, 0.577)
La (0.177, 0.469, 0.601)
La (0.208, 0.131, 0.031)
La (0.208, 0.577, 0.177)
La (0.292, 0.323, 0.923)
La (0.292, 0.469, 0.369)
La (0.323, 0.899, 0.031)
La (0.323, 0.923, 0.292)
La (0.369, 0.292, 0.469)
La (0.369, 0.577, 0.899)
La (0.399, 0.077, 0.869)
La (0.399, 0.823, 0.531)
La (0.423, 0.101, 0.631)
La (0.423, 0.823, 0.792)
La (0.469, 0.369, 0.292)
La (0.469, 0.601, 0.177)
La (0.531, 0.399, 0.823)
La (0.531, 0.631, 0.708)
La (0.577, 0.177, 0.208)
La (0.577, 0.899, 0.369)
La (0.601, 0.177, 0.469)
La (0.601, 0.923, 0.131)
La (0.631, 0.423, 0.101)
La (0.631, 0.708, 0.531)
La (0.677, 0.077, 0.708)
La (0.677, 0.101, 0.969)
La (0.708, 0.531, 0.631)
La (0.708, 0.677, 0.077)
La (0.792, 0.423, 0.823)
La (0.792, 0.869, 0.969)
La (0.823, 0.531, 0.399)
La (0.823, 0.792, 0.423)
La (0.869, 0.399, 0.077)
La (0.869, 0.969, 0.792)
La (0.899, 0.031, 0.323)
La (0.899, 0.369, 0.577)
La (0.923, 0.131, 0.601)
La (0.923, 0.292, 0.323)
La (0.969, 0.677, 0.101)
La (0.969, 0.792, 0.869)
Tc (0.125, 0.250, 0.375)
Tc (0.125, 0.375, 0.750)
Tc (0.250, 0.375, 0.125)
Tc (0.250, 0.875, 0.625)
Tc (0.375, 0.125, 0.250)
Tc (0.375, 0.750, 0.125)
Tc (0.625, 0.250, 0.875)
Tc (0.625, 0.875, 0.750)
Tc (0.750, 0.125, 0.375)
Tc (0.750, 0.625, 0.875)
Tc (0.875, 0.625, 0.250)
Tc (0.875, 0.750, 0.625)
C (0.000, 0.000, 0.000)
C (0.000, 0.000, 0.500)
C (0.000, 0.500, 0.000)
C (0.000, 0.500, 0.500)
C (0.125, 0.750, 0.875)
C (0.125, 0.875, 0.250)
C (0.250, 0.125, 0.875)
C (0.250, 0.625, 0.375)
C (0.375, 0.250, 0.625)
C (0.375, 0.625, 0.750)
C (0.500, 0.000, 0.000)
C (0.500, 0.000, 0.500)
C (0.500, 0.500, 0.000)
C (0.500, 0.500, 0.500)
C (0.625, 0.375, 0.250)
C (0.625, 0.750, 0.375)
C (0.750, 0.375, 0.625)
C (0.750, 0.875, 0.125)
C (0.875, 0.125, 0.750)
C (0.875, 0.250, 0.125)

=====

This record from the Alexandria database describes Pr7SmEr4 after structural relaxation. The functional is GGA-PBE.

Output
- Formation enthalpy at 0 K: 6.0 meV per atom
- Distance to the lowest polymorph of the same formula: 0.0 meV/atom
- Total DFT energy (no corrections): -4.70 eV per atom
- Density: 7.319 Mg/m³

Unit cell a=6.359 b=7.335 c=9.034 alpha=89.97 beta=76.49 gamma=89.95
Atoms (fractional coordinates):
Pr (0.000, 0.000, 0.000)
Pr (0.223, 0.500, 0.335)
Pr (0.281, 0.752, 0.664)
Pr (0.500, 0.246, 0.997)
Pr (0.500, 0.754, 0.003)
Pr (0.719, 0.248, 0.336)
Pr (0.777, 0.500, 0.665)
Sm (0.000, 0.500, 0.000)
Er (0.219, 0.000, 0.336)
Er (0.277, 0.245, 0.666)
Er (0.723, 0.755, 0.334)
Er (0.781, 0.000, 0.664)

=====

Taking the records one at a time from the top gives total magnetic moment values of 0.0; 0.0; 0.0; 0.0 Bohr magnetons per cell.
Taking the records one at a time from the top gives volume values of 18.920; 20.643; 26.475; 34.139 Å³ per atom.